SrPmAgIr PBE-GGA optimized geometry; crystal system = cubic; total magnetic moment = 0.00 μB per cell; formation enthalpy at 0 K = -0.28 eV per atom
1.0
7.3089 0.0000 0.0000
0.0000 7.3089 0.0000
0.0000 0.0000 7.3089
Sr Pm Ag Ir
4 4 4 4
Cartesian
0.0000 0.0000 0.0000
0.0000 3.6544 3.6544
3.6544 0.0000 3.6544
3.6544 3.6544 0.0000
0.0000 0.0000 3.6544
0.0000 3.6544 0.0000
3.6544 0.0000 0.0000
3.6544 3.6544 3.6544
1.8272 1.8272 1.8272
1.8272 5.4817 5.4817
5.4817 1.8272 5.4817
5.4817 5.4817 1.8272
1.8272 1.8272 5.4817
1.8272 5.4817 1.8272
5.4817 1.8272 1.8272
5.4817 5.4817 5.4817

***

PmTlAgIr PBE-GGA optimized geometry; crystal system = cubic; total magnetic moment = 0.00 μB per cell; formation enthalpy at 0 K = -0.14 eV per atom
1.0
7.0034 0.0000 0.0000
0.0000 7.0034 0.0000
0.0000 0.0000 7.0034
Pm Tl Ag Ir
4 4 4 4
Cartesian
0.0000 0.0000 0.0000
0.0000 3.5017 3.5017
3.5017 0.0000 3.5017
3.5017 3.5017 0.0000
0.0000 0.0000 3.5017
0.0000 3.5017 0.0000
3.5017 0.0000 0.0000
3.5017 3.5017 3.5017
1.7508 1.7508 1.7508
1.7508 5.2525 5.2525
5.2525 1.7508 5.2525
5.2525 5.2525 1.7508
1.7508 1.7508 5.2525
1.7508 5.2525 1.7508
5.2525 1.7508 1.7508
5.2525 5.2525 5.2525

***

PmYAgIr PBE-GGA optimized geometry; crystal system = cubic; total magnetic moment = 0.00 μB per cell; formation enthalpy at 0 K = -0.52 eV per atom
1.0
7.1357 0.0000 0.0000
0.0000 7.1357 0.0000
0.0000 0.0000 7.1357
Pm Y Ag Ir
4 4 4 4
Cartesian
0.0000 0.0000 0.0000
0.0000 3.5679 3.5679
3.5679 0.0000 3.5679
3.5679 3.5679 0.0000
0.0000 0.0000 3.5679
0.0000 3.5679 0.0000
3.5679 0.0000 0.0000
3.5679 3.5679 3.5679
1.7839 1.7839 1.7839
1.7839 5.3518 5.3518
5.3518 1.7839 5.3518
5.3518 5.3518 1.7839
1.7839 1.7839 5.3518
1.7839 5.3518 1.7839
5.3518 1.7839 1.7839
5.3518 5.3518 5.3518

***

Pr5AgIr2 PBE-GGA optimized geometry; crystal system = tetragonal; total magnetic moment = 0.00 μB per cell; formation enthalpy at 0 K = -0.47 eV per atom; polymorph energy (0 for the lowest one) = 0 meV per atom
1.0
-4.0302 4.0302 6.9635
4.0302 -4.0302 6.9635
4.0302 4.0302 -6.9635
Pr Ag Ir
10 2 4
Cartesian
0.0000 0.0000 0.0000
5.3326 1.3024 -1.8607
1.3024 2.7278 -1.8607
5.3326 1.3024 1.8607
1.3024 2.7278 1.8607
0.0000 0.0000 6.9635
2.7278 1.3024 5.1027
-1.3024 2.7278 5.1027
2.7278 1.3024 8.8242
-1.3024 2.7278 8.8242
0.0000 0.0000 3.4817
0.0000 0.0000 10.4452
2.9208 1.1094 0.0000
2.9208 -1.1094 6.9635
1.1094 5.1396 0.0000
1.1094 2.9208 6.9635

***

Number 1: D(E_F) 2.78 states/eV/f.u.. Number 2: D(E_F) 3.85 states/eV/f.u.. Number 3: D(E_F) 3.04 states/eV/f.u.. Number 4: D(E_F) 8.25 states/eV/f.u..